Crystalline Sm6Rh2AuBr3 at its relaxed geometry, computed with GGA-PBE.

## Properties
Calculated volume, Å³ per cell: 345
Energy relative to the elements, uncorrected, eV/atom: -1.048
VASP energy, eV/atom: -5.324
SG: No. 12

Cell: 7.1928 7.1928 8.0659 Å, 98.51 98.51 120.03°
Last column: nearest neighbours and their distance in Å.
Fractional coordinates of all 12 atoms:
Sm 0.9341 0.5837 0.8018  2 Rh 2.79, 1 Au 2.95
Sm 0.7150 0.7150 0.1979  2 Rh 2.79, 1 Au 2.95
Sm 0.0659 0.4163 0.1982  2 Rh 2.79, 1 Au 2.95
Sm 0.5837 0.9341 0.8018  2 Rh 2.79, 1 Au 2.95
Sm 0.2850 0.2850 0.8021  2 Rh 2.79, 1 Au 2.95
Sm 0.4163 0.0659 0.1982  2 Rh 2.79, 1 Au 2.95
Rh 0.3333 0.6667 0.0000  6 Sm 2.79
Rh 0.6667 0.3333 0.0000  6 Sm 2.79
Au 0.0000 0.0000 0.0000  6 Sm 2.95
Br 0.1683 0.8317 0.5000  6 Sm 3.24-3.40
Br 0.8317 0.1683 0.5000  6 Sm 3.24-3.40
Br 0.5000 0.5000 0.5000  6 Sm 3.25-3.39